# 1
Compound: CsPm4
Source: the Alexandria database
Functional: GGA-PBE
Structure: optimized geometry

```
data_CsPm4
_chemical_formula_sum 'Cs1 Pm4'
_cell_length_a 5.827
_cell_length_b 5.827
_cell_length_c 5.827
_cell_angle_alpha 90.00
_cell_angle_beta 90.00
_cell_angle_gamma 90.00
_symmetry_space_group_name_H-M 'P m -3 m'
_symmetry_Int_Tables_number 221
_symmetry_space_group_name_Hall '-P 4 2 3'
loop_
_atom_site_label
_atom_site_type_symbol
_atom_site_fract_x
_atom_site_fract_y
_atom_site_fract_z
Cs1 Cs 0.000 0.000 0.000
Pm1 Pm 0.000 0.000 0.500
Pm2 Pm 0.500 0.500 0.500
```

Values from the calculation:
total energy: -15.0 eV for the cell shown
total magnetization: 0.0 Bohr magnetons per cell



# 2
Compound: CsPm
Source: the Alexandria database
Functional: GGA-PBE
Structure: optimized geometry

```
data_CsPm
_chemical_formula_sum 'Cs3 Pm3'
_cell_length_a 3.8776
_cell_length_b 3.8776
_cell_length_c 22.6967
_cell_angle_alpha 90.00
_cell_angle_beta 90.00
_cell_angle_gamma 120.00
_symmetry_space_group_name_H-M 'R -3 m'
_symmetry_Int_Tables_number 166
_symmetry_space_group_name_Hall '-R 3 2"'
loop_
_atom_site_label
_atom_site_type_symbol
_atom_site_fract_x
_atom_site_fract_y
_atom_site_fract_z
Cs1 Cs 0.0000 0.0000 0.0000
Pm1 Pm 0.0000 0.0000 0.5000
```

Values from the calculation:
total energy: -12.9 eV for the cell shown
total magnetization: 0.0 Bohr magnetons per cell



What did the first record say?
Compound: CsPm4
Source: the Alexandria database
Functional: GGA-PBE
Structure: optimized geometry

```
data_CsPm4
_chemical_formula_sum 'Cs1 Pm4'
_cell_length_a 5.827
_cell_length_b 5.827
_cell_length_c 5.827
_cell_angle_alpha 90.00
_cell_angle_beta 90.00
_cell_angle_gamma 90.00
_symmetry_space_group_name_H-M 'P m -3 m'
_symmetry_Int_Tables_number 221
_symmetry_space_group_name_Hall '-P 4 2 3'
loop_
_atom_site_label
_atom_site_type_symbol
_atom_site_fract_x
_atom_site_fract_y
_atom_site_fract_z
Cs1 Cs 0.000 0.000 0.000
Pm1 Pm 0.000 0.000 0.500
Pm2 Pm 0.500 0.500 0.500
```

Values from the calculation:
total energy: -15.0 eV for the cell shown
total magnetization: 0.0 Bohr magnetons per cell



> Among the records above, which one has the lowest total energy?

CsPm4



> Among the records above, which one has the lowest total energy?

CsPm4